## Tb7Sm2Er3 (GGA-PBE)

Data for Tb7Sm2Er3 after structural relaxation.

Geometry as CIF:
```
data_Tb7Sm2Er3
_chemical_formula_sum 'Tb7 Sm2 Er3'
_symmetry_space_group_name_H-M 'P 1 2/m 1'
_symmetry_Int_Tables_number 10
_cell_length_a 5.776
_cell_length_b 3.583
_cell_length_c 18.689
_cell_angle_alpha 90.00
_cell_angle_beta 93.72
_cell_angle_gamma 90.00
loop_
_symmetry_equiv_pos_as_xyz
'x,y,z'
'-x,-y,-z'
'-x,y,-z'
'x,-y,z'
loop_
_atom_site_label
_atom_site_type_symbol
_atom_site_fract_x
_atom_site_fract_y
_atom_site_fract_z
Tb1 Tb 0.000 0.000 0.000
Tb2 Tb 0.181 0.500 0.177
Tb3 Tb 0.258 0.500 0.537
Tb4 Tb 0.322 0.000 0.857
Sm1 Sm 0.294 0.500 0.705
Er1 Er 0.220 0.000 0.369
Er2 Er 0.500 0.500 0.000
```

Results
Excess energy over the best structure of this formula in the dataset   0 meV per atom
Total DFT energy (no corrections)   -4.542 eV/atom
ΔH_f (0 K)   8 kJ per mole of atoms

=====

## Tm5Cd2In2 (GGA-PBE)

Data for Tm5Cd2In2 after structural relaxation.

Geometry as CIF:
```
data_Tm5Cd2In2
_chemical_formula_sum 'Tm20 Cd8 In8'
_symmetry_space_group_name_H-M 'C m c e'
_symmetry_Int_Tables_number 64
_symmetry_space_group_name_Hall '-C 2ac 2'
_cell_length_a 16.170
_cell_length_b 8.521
_cell_length_c 7.190
_cell_angle_alpha 90.00
_cell_angle_beta 90.00
_cell_angle_gamma 90.00
loop_
_atom_site_label
_atom_site_type_symbol
_atom_site_fract_x
_atom_site_fract_y
_atom_site_fract_z
Tm1 Tm 0.000 0.000 0.000
Tm2 Tm 0.141 0.188 0.337
Cd1 Cd 0.000 0.138 0.615
In1 In 0.211 0.000 0.000
```

Results
Total DFT energy (no corrections)   -3.543 eV/atom
ΔH_f (0 K)   -24 kJ per mole of atoms

=====

## LiCaHIr (GGA-PBE)

Data for LiCaHIr after structural relaxation.

Geometry as CIF:
```
data_LiCaHIr
_chemical_formula_sum 'Li1 Ca1 H1 Ir1'
_symmetry_space_group_name_H-M 'P m m 2'
_symmetry_Int_Tables_number 25
_cell_length_a 3.522
_cell_length_b 3.763
_cell_length_c 4.819
_cell_angle_alpha 90.00
_cell_angle_beta 90.00
_cell_angle_gamma 90.00
loop_
_symmetry_equiv_pos_as_xyz
'x,y,z'
'-x,-y,z'
'-x,y,z'
'x,-y,z'
loop_
_atom_site_label
_atom_site_type_symbol
_atom_site_fract_x
_atom_site_fract_y
_atom_site_fract_z
Li1 Li 0.000 0.000 0.000
Ca1 Ca 0.000 0.500 0.499
H1 H 0.500 0.000 0.992
Ir1 Ir 0.500 0.500 0.998
```

Results
Excess energy over the best structure of this formula in the dataset   120 meV per atom
Total DFT energy (no corrections)   -4.178 eV/atom

=====

## Ta2CS2 (GGA-PBE)

Data for Ta2CS2 after structural relaxation.

Geometry as CIF:
```
data_Ta2CS2
_chemical_formula_sum 'Ta6 C3 S6'
_symmetry_space_group_name_H-M 'R -3 m'
_symmetry_Int_Tables_number 166
_symmetry_space_group_name_Hall '-R 3 2"'
_cell_length_a 3.2870
_cell_length_b 3.2870
_cell_length_c 28.8647
_cell_angle_alpha 90.00
_cell_angle_beta 90.00
_cell_angle_gamma 120.00
loop_
_atom_site_label
_atom_site_type_symbol
_atom_site_fract_x
_atom_site_fract_y
_atom_site_fract_z
Ta1 Ta 0.0000 0.0000 0.1257
C1 C 0.0000 0.0000 0.5000
S1 S 0.0000 0.0000 0.2642
```

Results
Energy relative to the elements, uncorrected   -935 meV/atom
Excess energy over the best structure of this formula in the dataset   0 meV per atom
Total DFT energy (no corrections)   -9.172 eV/atom